(1)
SrIF2 (GGA-PBE, optimized geometry); electronic total energy = -3.8538 eV/atom; raw formation energy = -2.11 eV per atom; E above lowest polymorph = 2.29 eV/f.u.; spin magnetization = 4.00 μB/cell; V = 328.8 Å³ per cell
1.0
6.902 0.000 0.000
0.000 6.902 0.000
0.000 0.000 6.902
Sr I F
4 4 8
direct
0.000 0.000 0.000
0.000 0.500 0.500
0.500 0.000 0.500
0.500 0.500 0.000
0.000 0.000 0.500
0.000 0.500 0.000
0.500 0.000 0.000
0.500 0.500 0.500
0.250 0.250 0.250
0.250 0.250 0.750
0.250 0.750 0.250
0.250 0.750 0.750
0.750 0.250 0.250
0.750 0.250 0.750
0.750 0.750 0.250
0.750 0.750 0.750

---

(2)
TbDy5Er2Tm (GGA-PBE, optimized geometry); electronic total energy = -4.4269 eV/atom; energy of formation from the pure elements = 0.155 eV per atom; spin magnetization = 0.00 μB/cell; V = 574.6 Å³ per cell
1.0
2.772 -9.872 0.000
2.772 9.872 0.000
0.000 0.000 10.502
Tb Dy Er Tm
2 10 4 2
direct
0.200 0.800 0.500
0.800 0.200 0.000
0.018 0.982 0.513
0.281 0.719 0.797
0.300 0.700 0.197
0.390 0.610 0.512
0.480 0.520 0.228
0.520 0.480 0.728
0.610 0.390 0.012
0.700 0.300 0.697
0.719 0.281 0.297
0.982 0.018 0.013
0.110 0.890 0.227
0.114 0.886 0.806
0.886 0.114 0.306
0.890 0.110 0.727
0.412 0.588 0.947
0.588 0.412 0.447

---

(3)
Ba2CdBr (GGA-PBE, optimized geometry); electronic total energy = -2.5110 eV/atom; raw formation energy = -0.90 eV per atom; E above lowest polymorph = 0.00 eV/f.u.; spin magnetization = 0.00 μB/cell; V = 172.1 Å³ per cell
1.0
4.310 0.000 0.000
0.000 4.249 0.000
-0.045 0.000 9.397
Ba Cd Br
2 1 1
direct
0.002 0.000 0.223
0.998 0.000 0.777
0.500 0.500 0.000
0.000 0.500 0.500

---

(4)
KIr2Pt (GGA-PBE, optimized geometry); electronic total energy = -5.4412 eV/atom; E above lowest polymorph = 1.83 eV/f.u.; energy of formation from the pure elements = 0.774 eV per atom; spin magnetization = 0.00 μB/cell; V = 136.5 Å³ per cell
1.0
5.757 0.000 0.000
0.000 8.909 0.000
0.000 0.000 2.661
K Ir Pt
2 4 2
direct
0.000 0.000 0.000
0.500 0.500 0.000
0.250 0.250 0.500
0.250 0.750 0.500
0.750 0.250 0.500
0.750 0.750 0.500
0.000 0.500 0.000
0.500 0.000 0.000

---

What did the second record say?
TbDy5Er2Tm (GGA-PBE, optimized geometry); electronic total energy = -4.4269 eV/atom; energy of formation from the pure elements = 0.155 eV per atom; spin magnetization = 0.00 μB/cell; V = 574.6 Å³ per cell
1.0
2.772 -9.872 0.000
2.772 9.872 0.000
0.000 0.000 10.502
Tb Dy Er Tm
2 10 4 2
direct
0.200 0.800 0.500
0.800 0.200 0.000
0.018 0.982 0.513
0.281 0.719 0.797
0.300 0.700 0.197
0.390 0.610 0.512
0.480 0.520 0.228
0.520 0.480 0.728
0.610 0.390 0.012
0.700 0.300 0.697
0.719 0.281 0.297
0.982 0.018 0.013
0.110 0.890 0.227
0.114 0.886 0.806
0.886 0.114 0.306
0.890 0.110 0.727
0.412 0.588 0.947
0.588 0.412 0.447